{"formula": "LiGaNi2", "functional": "PBE", "state": "optimized geometry", "space_group": "No. 62", "energy_ev_per_atom": -4.170, "lattice_angstrom": [[6.6616, 0.0000, 0.0000], [0.0000, 6.8257, 0.0000], [0.0000, 0.0000, 4.7311]], "species": ["Li", "Li", "Li", "Li", "Ga", "Ga", "Ga", "Ga", "Ni", "Ni", "Ni", "Ni", "Ni", "Ni", "Ni", "Ni"], "frac_coords": [[0.0313, 0.2500, 0.1248], [0.4687, 0.7500, 0.6248], [0.5313, 0.2500, 0.3752], [0.9687, 0.7500, 0.8752], [0.1093, 0.7500, 0.3751], [0.3907, 0.2500, 0.8751], [0.6093, 0.7500, 0.1249], [0.8907, 0.2500, 0.6249], [0.1837, 0.0568, 0.5802], [0.1837, 0.4432, 0.5802], [0.3163, 0.5568, 0.0802], [0.3163, 0.9432, 0.0802], [0.6837, 0.0568, 0.9198], [0.6837, 0.4432, 0.9198], [0.8163, 0.5568, 0.4198], [0.8163, 0.9432, 0.4198]]}

{"formula": "LiGaNi2", "functional": "PBE", "state": "optimized geometry", "space_group": "No. 194", "energy_ev_per_atom": -4.171, "lattice_angstrom": [[4.0622, 0.0000, 0.0000], [-2.0311, 3.5179, 0.0000], [0.0000, 0.0000, 7.0615]], "species": ["Li", "Li", "Ga", "Ga", "Ni", "Ni", "Ni", "Ni"], "frac_coords": [[0.0000, 0.0000, 0.2500], [0.0000, 0.0000, 0.7500], [0.3333, 0.6667, 0.2500], [0.6667, 0.3333, 0.7500], [0.3333, 0.6667, 0.5820], [0.3333, 0.6667, 0.9180], [0.6667, 0.3333, 0.0820], [0.6667, 0.3333, 0.4180]]}

{"formula": "LiGaNi2", "functional": "PBE", "state": "optimized geometry", "space_group": "No. 194", "energy_ev_per_atom": -4.220, "lattice_angstrom": [[4.0577, 0.0000, 0.0000], [-2.0288, 3.5140, 0.0000], [0.0000, 0.0000, 7.2837]], "species": ["Li", "Li", "Ga", "Ga", "Ni", "Ni", "Ni", "Ni"], "frac_coords": [[0.3333, 0.6667, 0.2500], [0.6667, 0.3333, 0.7500], [0.0000, 0.0000, 0.0000], [0.0000, 0.0000, 0.5000], [0.3333, 0.6667, 0.5790], [0.3333, 0.6667, 0.9210], [0.6667, 0.3333, 0.0790], [0.6667, 0.3333, 0.4210]]}

{"formula": "LiGaNi2", "functional": "PBE", "state": "optimized geometry", "space_group": "No. 123", "energy_ev_per_atom": -4.259, "lattice_angstrom": [[2.9265, 0.0000, 0.0000], [0.0000, 2.9265, 0.0000], [0.0000, 0.0000, 5.4663]], "species": ["Li", "Ga", "Ni", "Ni"], "frac_coords": [[0.0000, 0.0000, 0.0000], [0.0000, 0.0000, 0.5000], [0.5000, 0.5000, 0.2512], [0.5000, 0.5000, 0.7488]]}

{"formula": "LiGaNi2", "functional": "PBE", "state": "optimized geometry", "space_group": "No. 123", "energy_ev_per_atom": -4.329, "lattice_angstrom": [[3.8059, 0.0000, 0.0000], [0.0000, 3.8059, 0.0000], [0.0000, 0.0000, 3.1997]], "species": ["Li", "Ga", "Ni", "Ni"], "frac_coords": [[0.0000, 0.0000, 0.0000], [0.5000, 0.5000, 0.0000], [0.0000, 0.5000, 0.5000], [0.5000, 0.0000, 0.5000]]}

{"formula": "LiGa2NiPd4", "functional": "PBE", "state": "optimized geometry", "space_group": "No. 123", "energy_ev_per_atom": -4.842, "lattice_angstrom": [[4.2939, 0.0000, 0.0000], [0.0000, 4.2939, 0.0000], [0.0000, 0.0000, 6.0444]], "species": ["Li", "Ga", "Ga", "Ni", "Pd", "Pd", "Pd", "Pd"], "frac_coords": [[0.0000, 0.0000, 0.0000], [0.0000, 0.0000, 0.5000], [0.5000, 0.5000, 0.0000], [0.5000, 0.5000, 0.5000], [0.0000, 0.5000, 0.2515], [0.0000, 0.5000, 0.7485], [0.5000, 0.0000, 0.2515], [0.5000, 0.0000, 0.7485]]}

{"formula": "Li4Ga2NiPd", "functional": "PBE", "state": "optimized geometry", "space_group": "No. 115", "energy_ev_per_atom": -3.475, "lattice_angstrom": [[4.2262, 0.0000, 0.0000], [0.0000, 4.2262, 0.0000], [0.0000, 0.0000, 5.9790]], "species": ["Li", "Li", "Li", "Li", "Ga", "Ga", "Ni", "Pd"], "frac_coords": [[0.0000, 0.0000, 0.0000], [0.0000, 0.5000, 0.7444], [0.5000, 0.0000, 0.2556], [0.5000, 0.5000, 0.5000], [0.0000, 0.5000, 0.2657], [0.5000, 0.0000, 0.7343], [0.0000, 0.0000, 0.5000], [0.5000, 0.5000, 0.0000]]}

{"formula": "Li4GaNiPd2", "functional": "PBE", "state": "optimized geometry", "space_group": "No. 115", "energy_ev_per_atom": -3.695, "lattice_angstrom": [[4.2466, 0.0000, 0.0000], [0.0000, 4.2466, 0.0000], [0.0000, 0.0000, 5.9342]], "species": ["Li", "Li", "Li", "Li", "Ga", "Ni", "Pd", "Pd"], "frac_coords": [[0.0000, 0.0000, 0.0000], [0.0000, 0.5000, 0.2384], [0.5000, 0.0000, 0.7616], [0.5000, 0.5000, 0.5000], [0.0000, 0.0000, 0.5000], [0.5000, 0.5000, 0.0000], [0.0000, 0.5000, 0.7443], [0.5000, 0.0000, 0.2557]]}

{"formula": "Li2Sc2Ga2NiPd", "functional": "PBE", "state": "optimized geometry", "space_group": "No. 115", "energy_ev_per_atom": -4.734, "lattice_angstrom": [[4.3841, 0.0000, 0.0000], [0.0000, 4.3841, 0.0000], [0.0000, 0.0000, 6.2799]], "species": ["Li", "Li", "Sc", "Sc", "Ga", "Ga", "Ni", "Pd"], "frac_coords": [[0.0000, 0.0000, 0.0000], [0.5000, 0.5000, 0.5000], [0.0000, 0.5000, 0.2361], [0.5000, 0.0000, 0.7639], [0.0000, 0.5000, 0.7625], [0.5000, 0.0000, 0.2375], [0.5000, 0.5000, 0.0000], [0.0000, 0.0000, 0.5000]]}

{"formula": "Li2Zn2Ga2NiPd", "functional": "PBE", "state": "optimized geometry", "space_group": "No. 115", "energy_ev_per_atom": -3.325, "lattice_angstrom": [[4.2407, 0.0000, 0.0000], [0.0000, 4.2407, 0.0000], [0.0000, 0.0000, 6.0313]], "species": ["Li", "Li", "Zn", "Zn", "Ga", "Ga", "Ni", "Pd"], "frac_coords": [[0.0000, 0.0000, 0.0000], [0.5000, 0.5000, 0.5000], [0.0000, 0.5000, 0.7351], [0.5000, 0.0000, 0.2649], [0.0000, 0.5000, 0.2663], [0.5000, 0.0000, 0.7337], [0.0000, 0.0000, 0.5000], [0.5000, 0.5000, 0.0000]]}

{"formula": "Li4Ga2NiPt", "functional": "PBE", "state": "optimized geometry", "space_group": "No. 115", "energy_ev_per_atom": -3.641, "lattice_angstrom": [[4.2054, 0.0000, 0.0000], [0.0000, 4.2054, 0.0000], [0.0000, 0.0000, 5.9442]], "species": ["Li", "Li", "Li", "Li", "Ga", "Ga", "Ni", "Pt"], "frac_coords": [[0.0000, 0.0000, 0.0000], [0.0000, 0.5000, 0.7440], [0.5000, 0.0000, 0.2560], [0.5000, 0.5000, 0.5000], [0.0000, 0.5000, 0.2636], [0.5000, 0.0000, 0.7364], [0.0000, 0.0000, 0.5000], [0.5000, 0.5000, 0.0000]]}

{"formula": "LiGaNiPt", "functional": "PBE", "state": "optimized geometry", "space_group": "No. 119", "energy_ev_per_atom": -4.712, "lattice_angstrom": [[-1.9699, 1.9699, 3.3062], [1.9699, -1.9699, 3.3062], [1.9699, 1.9699, -3.3062]], "species": ["Li", "Ga", "Ni", "Pt"], "frac_coords": [[0.0000, 0.0000, 0.0000], [0.5000, 0.5000, 0.0000], [0.7500, 0.2500, 0.5000], [0.2500, 0.7500, 0.5000]]}

{"formula": "Li2Sc2Ga2NiPt", "functional": "PBE", "state": "optimized geometry", "space_group": "No. 115", "energy_ev_per_atom": -4.929, "lattice_angstrom": [[4.3976, 0.0000, 0.0000], [0.0000, 4.3976, 0.0000], [0.0000, 0.0000, 6.2388]], "species": ["Li", "Li", "Sc", "Sc", "Ga", "Ga", "Ni", "Pt"], "frac_coords": [[0.0000, 0.0000, 0.0000], [0.5000, 0.5000, 0.5000], [0.0000, 0.5000, 0.2381], [0.5000, 0.0000, 0.7619], [0.0000, 0.5000, 0.7610], [0.5000, 0.0000, 0.2390], [0.5000, 0.5000, 0.0000], [0.0000, 0.0000, 0.5000]]}

{"formula": "Li2Zr2Ga2NiPt", "functional": "PBE", "state": "optimized geometry", "space_group": "No. 115", "energy_ev_per_atom": -5.493, "lattice_angstrom": [[4.4014, 0.0000, 0.0000], [0.0000, 4.4014, 0.0000], [0.0000, 0.0000, 6.2673]], "species": ["Li", "Li", "Zr", "Zr", "Ga", "Ga", "Ni", "Pt"], "frac_coords": [[0.0000, 0.0000, 0.0000], [0.5000, 0.5000, 0.5000], [0.0000, 0.5000, 0.7386], [0.5000, 0.0000, 0.2614], [0.0000, 0.5000, 0.2582], [0.5000, 0.0000, 0.7418], [0.0000, 0.0000, 0.5000], [0.5000, 0.5000, 0.0000]]}

{"formula": "LiGaReNi", "functional": "PBE", "state": "optimized geometry", "space_group": "No. 216", "energy_ev_per_atom": -5.525, "lattice_angstrom": [[0.0000, 2.9414, 2.9414], [2.9414, 0.0000, 2.9414], [2.9414, 2.9414, 0.0000]], "species": ["Li", "Ga", "Re", "Ni"], "frac_coords": [[0.0000, 0.0000, 0.0000], [0.2500, 0.2500, 0.2500], [0.7500, 0.7500, 0.7500], [0.5000, 0.5000, 0.5000]]}

{"formula": "Li2Sc2GaNi2Sn", "functional": "PBE", "state": "optimized geometry", "space_group": "No. 115", "energy_ev_per_atom": -4.872, "lattice_angstrom": [[4.3894, 0.0000, 0.0000], [0.0000, 4.3894, 0.0000], [0.0000, 0.0000, 6.2429]], "species": ["Li", "Li", "Sc", "Sc", "Ga", "Ni", "Ni", "Sn"], "frac_coords": [[0.0000, 0.5000, 0.2382], [0.5000, 0.0000, 0.7618], [0.0000, 0.0000, 0.5000], [0.5000, 0.5000, 0.0000], [0.0000, 0.0000, 0.0000], [0.0000, 0.5000, 0.7593], [0.5000, 0.0000, 0.2407], [0.5000, 0.5000, 0.5000]]}

{"formula": "Li2ZrScGa2Ni2", "functional": "PBE", "state": "optimized geometry", "space_group": "No. 115", "energy_ev_per_atom": -4.970, "lattice_angstrom": [[4.3229, 0.0000, 0.0000], [0.0000, 4.3229, 0.0000], [0.0000, 0.0000, 6.1097]], "species": ["Li", "Li", "Zr", "Sc", "Ga", "Ga", "Ni", "Ni"], "frac_coords": [[0.0000, 0.5000, 0.2427], [0.5000, 0.0000, 0.7573], [0.5000, 0.5000, 0.5000], [0.0000, 0.0000, 0.0000], [0.0000, 0.0000, 0.5000], [0.5000, 0.5000, 0.0000], [0.0000, 0.5000, 0.7470], [0.5000, 0.0000, 0.2530]]}

{"formula": "Li4GaNi2Sn", "functional": "PBE", "state": "optimized geometry", "space_group": "No. 115", "energy_ev_per_atom": -3.542, "lattice_angstrom": [[4.2363, 0.0000, 0.0000], [0.0000, 4.2363, 0.0000], [0.0000, 0.0000, 6.0050]], "species": ["Li", "Li", "Li", "Li", "Ga", "Ni", "Ni", "Sn"], "frac_coords": [[0.0000, 0.0000, 0.0000], [0.0000, 0.5000, 0.2321], [0.5000, 0.0000, 0.7679], [0.5000, 0.5000, 0.5000], [0.5000, 0.5000, 0.0000], [0.0000, 0.5000, 0.7639], [0.5000, 0.0000, 0.2361], [0.0000, 0.0000, 0.5000]]}

{"formula": "LiTaGaNi", "functional": "PBE", "state": "optimized geometry", "space_group": "No. 216", "energy_ev_per_atom": -5.724, "lattice_angstrom": [[0.0000, 2.9870, 2.9870], [2.9870, 0.0000, 2.9870], [2.9870, 2.9870, 0.0000]], "species": ["Li", "Ta", "Ga", "Ni"], "frac_coords": [[0.0000, 0.0000, 0.0000], [0.7500, 0.7500, 0.7500], [0.2500, 0.2500, 0.2500], [0.5000, 0.5000, 0.5000]]}

{"formula": "LiTaGaNi", "functional": "PBE", "state": "optimized geometry", "space_group": "No. 216", "energy_ev_per_atom": -5.455, "lattice_angstrom": [[0.0000, 3.0211, 3.0211], [3.0211, 0.0000, 3.0211], [3.0211, 3.0211, 0.0000]], "species": ["Li", "Ta", "Ga", "Ni"], "frac_coords": [[0.0000, 0.0000, 0.0000], [0.2500, 0.2500, 0.2500], [0.5000, 0.5000, 0.5000], [0.7500, 0.7500, 0.7500]]}

{"formula": "LiGaNiW", "functional": "PBE", "state": "optimized geometry", "space_group": "No. 216", "energy_ev_per_atom": -5.631, "lattice_angstrom": [[0.0000, 2.9662, 2.9662], [2.9662, 0.0000, 2.9662], [2.9662, 2.9662, 0.0000]], "species": ["Li", "Ga", "Ni", "W"], "frac_coords": [[0.0000, 0.0000, 0.0000], [0.2500, 0.2500, 0.2500], [0.5000, 0.5000, 0.5000], [0.7500, 0.7500, 0.7500]]}

{"formula": "Li4ZnGaNi2", "functional": "PBE", "state": "optimized geometry", "space_group": "No. 115", "energy_ev_per_atom": -3.102, "lattice_angstrom": [[4.1332, 0.0000, 0.0000], [0.0000, 4.1332, 0.0000], [0.0000, 0.0000, 5.8470]], "species": ["Li", "Li", "Li", "Li", "Zn", "Ga", "Ni", "Ni"], "frac_coords": [[0.0000, 0.0000, 0.0000], [0.0000, 0.5000, 0.2477], [0.5000, 0.0000, 0.7523], [0.5000, 0.5000, 0.5000], [0.5000, 0.5000, 0.0000], [0.0000, 0.0000, 0.5000], [0.0000, 0.5000, 0.7428], [0.5000, 0.0000, 0.2572]]}

{"formula": "Li4Zn2GaNi", "functional": "PBE", "state": "optimized geometry", "space_group": "No. 115", "energy_ev_per_atom": -2.551, "lattice_angstrom": [[4.2291, 0.0000, 0.0000], [0.0000, 4.2291, 0.0000], [0.0000, 0.0000, 6.0516]], "species": ["Li", "Li", "Li", "Li", "Zn", "Zn", "Ga", "Ni"], "frac_coords": [[0.0000, 0.0000, 0.0000], [0.0000, 0.5000, 0.2372], [0.5000, 0.0000, 0.7628], [0.5000, 0.5000, 0.5000], [0.0000, 0.5000, 0.7696], [0.5000, 0.0000, 0.2304], [0.0000, 0.0000, 0.5000], [0.5000, 0.5000, 0.0000]]}

{"formula": "LiZrGaNi", "functional": "PBE", "state": "optimized geometry", "space_group": "No. 216", "energy_ev_per_atom": -5.274, "lattice_angstrom": [[0.0000, 3.0581, 3.0581], [3.0581, 0.0000, 3.0581], [3.0581, 3.0581, 0.0000]], "species": ["Li", "Zr", "Ga", "Ni"], "frac_coords": [[0.0000, 0.0000, 0.0000], [0.7500, 0.7500, 0.7500], [0.2500, 0.2500, 0.2500], [0.5000, 0.5000, 0.5000]]}

{"formula": "LiZrGaNi", "functional": "PBE", "state": "optimized geometry", "space_group": "No. 216", "energy_ev_per_atom": -5.083, "lattice_angstrom": [[0.0000, 3.1421, 3.1421], [3.1421, 0.0000, 3.1421], [3.1421, 3.1421, 0.0000]], "species": ["Li", "Zr", "Ga", "Ni"], "frac_coords": [[0.0000, 0.0000, 0.0000], [0.5000, 0.5000, 0.5000], [0.7500, 0.7500, 0.7500], [0.2500, 0.2500, 0.2500]]}

{"formula": "LiZrGaNi", "functional": "PBE", "state": "optimized geometry", "space_group": "No. 216", "energy_ev_per_atom": -5.008, "lattice_angstrom": [[0.0000, 3.0960, 3.0960], [3.0960, 0.0000, 3.0960], [3.0960, 3.0960, 0.0000]], "species": ["Li", "Zr", "Ga", "Ni"], "frac_coords": [[0.0000, 0.0000, 0.0000], [0.7500, 0.7500, 0.7500], [0.5000, 0.5000, 0.5000], [0.2500, 0.2500, 0.2500]]}